#a
The following is a GGA-PBE calculation of crystalline V3CrFe at its relaxed geometry, from the Alexandria database.

The structure in POSCAR format:
```
V3CrFe
1.0
4.1318 0.0000 0.0000
0.0000 2.7776 0.0000
0.0000 0.0000 11.5690
V Cr Fe
6 2 2
direct
0.0000 0.0000 0.0000 V
0.0000 0.0000 0.2800 V
0.0000 0.5000 0.5000 V
0.0000 0.5000 0.7800 V
0.5000 0.0000 0.8106 V
0.5000 0.5000 0.3106 V
0.5000 0.0000 0.1401 Cr
0.5000 0.5000 0.6401 Cr
0.5000 0.0000 0.4719 Fe
0.5000 0.5000 0.9719 Fe
```



#b
The following is a GGA-PBE calculation of crystalline V3CrFe at its relaxed geometry, from the Alexandria database.

The structure in POSCAR format:
```
V3CrFe
1.0
2.5936 1.4974 5.8324
-2.5936 1.4974 5.8324
0.0000 -2.9948 5.8324
V Cr Fe
6 2 2
direct
0.1159 0.1159 0.5984 V
0.1159 0.5984 0.1159 V
0.4016 0.8841 0.8841 V
0.5984 0.1159 0.1159 V
0.8841 0.4016 0.8841 V
0.8841 0.8841 0.4016 V
0.1653 0.1653 0.1653 Cr
0.8347 0.8347 0.8347 Cr
0.4244 0.4244 0.4244 Fe
0.5756 0.5756 0.5756 Fe
```



#c
The following is a GGA-PBE calculation of crystalline V3CrFe at its relaxed geometry, from the Alexandria database.

The structure in POSCAR format:
```
V3CrFe
1.0
4.2920 0.0000 0.0000
0.0000 4.2920 0.0000
0.0000 0.0000 4.2920
V Cr Fe
3 1 1
direct
0.0000 0.0000 0.5000 V
0.0000 0.5000 0.0000 V
0.5000 0.0000 0.0000 V
0.5000 0.5000 0.5000 Cr
0.0000 0.0000 0.0000 Fe
```



Energy ordering: #a at the bottom, the next structure 160 meV/atom above.